# CsReN3, relaxed, DFT GGA-PBE
# Size of the total moment ... 3.295 μB per cell
# Energy ... -3.803 eV/atom
data_CsReN3
_chemical_formula_sum 'Cs1 Re1 N3'
_cell_length_a 4.317
_cell_length_b 4.317
_cell_length_c 4.317
_cell_angle_alpha 90.00
_cell_angle_beta 90.00
_cell_angle_gamma 90.00
_symmetry_space_group_name_H-M 'P m -3 m'
_symmetry_Int_Tables_number 221
_symmetry_space_group_name_Hall '-P 4 2 3'
loop_
_atom_site_label
_atom_site_fract_x
_atom_site_fract_y
_atom_site_fract_z
Cs1 0.000 0.000 0.000
Re1 0.500 0.500 0.500
N1 0.000 0.000 0.500